No. 1
Compound: NaCa3Pb
Source: Alexandria via LeMat-Bulk
Functional: meta-GGA SCAN
Structure: single point on PBEsol structure

Structure (extended XYZ):
```
5
Lattice="-5.058 2.244 -2.411 -1.666 -5.554 -1.675 -2.842 -0.739 5.273" Properties=species:S:1:pos:R:3 pbc="T T T"
Pb 0.000 0.000 0.000
Ca -1.421 -0.369 2.637
Ca -0.833 -2.777 -0.838
Ca -2.529 1.122 -1.205
Na -4.783 -2.024 0.593
```

For the density of states at the Fermi level, the calculation gives 4.40 states/eV/f.u. The uncorrected energy comes out at -110.042 eV for the cell shown. As for the formation energy: -20 kJ/mol of atoms. As for the space group: Pm-3m (221).

No. 2
Compound: YGe
Source: Alexandria via LeMat-Bulk
Functional: meta-GGA SCAN
Structure: single point on PBEsol structure

Structure (extended XYZ):
```
4
Lattice="-3.875 -0.477 -0.057 0.025 -0.699 4.182 -0.639 4.843 2.962" Properties=species:S:1:pos:R:3 pbc="T T T"
Ge -3.004 0.168 2.195
Ge -1.486 3.500 4.892
Y -1.125 0.623 4.410
Y -3.365 3.045 2.678
```

For the density of states at the Fermi level, the calculation gives 0.92 states/eV/f.u. The uncorrected energy comes out at -97.851 eV for the cell shown. As for the formation energy: -96 kJ/mol of atoms. As for the space group: Cmcm (63).

No. 3
Compound: CaTaRu2
Source: Alexandria via LeMat-Bulk
Functional: meta-GGA SCAN
Structure: single point on PBEsol structure

Structure (extended XYZ):
```
4
Lattice="3.159 0.000 0.000 0.000 3.159 0.000 0.000 0.000 6.841" Properties=species:S:1:pos:R:3 pbc="T T T"
Ta 1.579 1.579 0.000
Ru 0.000 0.000 1.452
Ru 0.000 0.000 5.389
Ca 1.579 1.579 3.420
```

For the density of states at the Fermi level, the calculation gives 1.58 states/eV/f.u. The uncorrected energy comes out at -146.900 eV for the cell shown. As for the formation energy: -24 kJ/mol of atoms. As for the space group: P4/mmm (123).

No. 4
Compound: KZnCo2
Source: Alexandria via LeMat-Bulk
Functional: meta-GGA SCAN
Structure: single point on PBEsol structure

Structure (extended XYZ):
```
4
Lattice="2.602 0.000 0.000 0.000 3.909 0.000 0.000 0.000 6.973" Properties=species:S:1:pos:R:3 pbc="T T T"
Co 0.000 0.000 4.542
Co 0.000 0.000 2.431
Zn 1.301 1.954 3.486
K 1.301 1.954 0.000
```

For the density of states at the Fermi level, the calculation gives 2.31 states/eV/f.u. The uncorrected energy comes out at -53.922 eV for the cell shown. As for the formation energy: 61 kJ/mol of atoms. As for the space group: Pmmm (47).